A geometry-optimized CuSiBr2 structure, computed with GGA-PBE.

abc: 3.4930 6.5635 8.9697
angles: 90.00 90.00 90.00
Space group Cmm2 (No. 35)
Unique sites:
Cu  0.0000  0.0000  0.0000 x2
Si  0.0000  0.5000  0.8244 x2
Br  0.0000  0.0000  0.6027 x2
Br  0.0000  0.5000  0.1833 x2

E_tot (eV for the cell shown): -25.1
DOS(E_F) (states/eV/cell): 2.8
Spin magnetization (μB/cell): 0.0
Relative energy among the computed polymorphs (meV per atom): 179.9
ΔE_f (raw) (eV per atom): 0.082